1.
A plane-wave DFT calculation with PBE-GGA was carried out for a relaxed structure of PaMoH6.

Cell and atoms, written as POSCAR:
```
PaMoH6
1.0
-3.086 0.354 3.011
3.285 -0.470 2.776
0.545 3.654 1.888
Mo H Pa
1 6 1
direct
0.000 0.000 0.000
0.702 0.104 0.778
0.897 0.297 0.222
0.103 0.703 0.778
0.682 0.681 0.391
0.318 0.319 0.609
0.298 0.896 0.222
0.500 0.500 0.000
```

Results
Electronic total energy (eV per atom): -5.07
Magnetization (μB per cell): 0.00
Space-group type: No. 12

2.
A plane-wave DFT calculation with PBE-GGA was carried out for a relaxed structure of LaSmY2.

Cell and atoms, written as POSCAR:
```
LaSmY2
1.0
-1.238 4.220 2.536
-4.778 -1.830 0.713
1.507 -2.213 4.418
Sm La Y
1 1 2
direct
0.500 0.000 0.000
0.500 0.500 0.500
0.000 0.500 0.000
0.000 0.000 0.500
```

Results
Electronic total energy (eV per atom): -5.62
Magnetization (μB per cell): 0.00
Energy above the most stable polymorph in this dataset (kJ/mol of atoms): 1.42
Space-group type: No. 123

3.
A plane-wave DFT calculation with PBE-GGA was carried out for a relaxed structure of HfVAs.

Cell and atoms, written as POSCAR:
```
HfVAs
1.0
3.450 0.000 0.000
0.000 7.750 0.314
-1.725 -0.506 8.342
Hf V As
4 4 4
direct
0.468 0.187 0.936
0.908 0.615 0.816
0.092 0.385 0.184
0.532 0.813 0.064
0.752 0.878 0.503
0.740 0.366 0.480
0.260 0.634 0.520
0.248 0.122 0.497
0.367 0.890 0.734
0.656 0.625 0.311
0.344 0.375 0.689
0.633 0.110 0.266
```

Results
Electronic total energy (eV per atom): -8.20
Magnetization (μB per cell): 0.00
Space-group type: No. 12

4.
A plane-wave DFT calculation with PBE-GGA was carried out for a relaxed structure of MnBe2Te.

Cell and atoms, written as POSCAR:
```
MnBe2Te
1.0
-2.148 2.697 0.287
-1.030 -1.085 2.486
4.165 2.984 3.120
Te Be Mn
1 2 1
direct
0.500 0.750 0.750
0.000 0.748 0.421
0.000 0.752 0.079
0.500 0.250 0.250
```

Results
Raw formation energy (meV per atom): 382
Electronic total energy (eV per atom): -4.56
Magnetization (μB per cell): 2.76
Space-group type: No. 10

Question: What is the electronic total energy in the fourth record?
Answer: -4.56 eV per atom

Question: electronic total energy of number 2 (LaSmY2)?
Answer: -5.62 eV per atom